[1]
The following is a DFT calculation (GGA-PBE) of an optimized crystal structure of HoScBe17.

Geometry as extended XYZ:
```
19
Lattice="5.7027 0.0108 0.6849 0.6089 5.6701 0.6849 0.0121 0.0108 5.7437" Properties=species:S:1:pos:R:3 pbc="T T T"
Ho 4.1766 3.7593 4.6984
Sc 2.1341 1.9209 2.4007
Be 1.6232 0.0216 4.3040
Be 4.2519 1.6120 0.6947
Be 0.4498 4.0594 2.1164
Be 2.0491 4.0594 0.6947
Be 0.1917 1.6120 4.3040
Be 4.0842 0.0216 2.1164
Be 2.4512 4.7967 2.7573
Be 2.1493 1.9346 5.3157
Be 5.0273 1.9346 2.7573
Be 3.8587 0.9111 4.3408
Be 4.1573 3.7419 1.8103
Be 1.3107 3.7419 4.3408
Be 0.3081 2.8331 0.3466
Be 0.0103 0.0093 2.8708
Be 2.8498 0.0093 0.3466
Be 5.7252 5.1531 6.4403
Be 0.6185 0.5567 0.6957
```

Computed properties:
SG: R3m (160)
spin magnetization: 0.000 μB/cell
theoretical density: 3.25 g/cm3
energy: -4.072 eV/atom
calculated formation energy: -3.104 eV/f.u.


[2]
The following is a DFT calculation (GGA-PBE) of an optimized crystal structure of Rb2NpF8.

Geometry as extended XYZ:
```
11
Lattice="-2.3788 -3.3759 0.2791 4.5163 -3.3044 -1.4757 0.9234 2.5725 8.2905" Properties=species:S:1:pos:R:3 pbc="T T T"
Rb 0.0627 -2.1695 4.9866
Rb 2.9981 -1.9383 2.1073
Np -1.1894 -1.6880 0.1396
F 2.8119 -1.4961 5.8681
F 2.6834 -4.3882 0.4858
F 2.2331 -3.7857 3.9357
F -0.5633 -1.4581 8.2552
F 0.8278 -0.3221 3.1582
F 0.3775 0.2804 6.6082
F 0.2490 -2.6117 1.2258
F 3.6241 -2.6497 -1.1613
```

Computed properties:
SG: C2/m (12)
spin magnetization: 0.968 μB/cell
theoretical density: 4.86 g/cm3
energy: -5.544 eV/atom
formation energy (no corrections): -2.830 eV/atom


[3]
The following is a DFT calculation (GGA-PBE) of an optimized crystal structure of Ag3Pd7Pt.

Geometry as extended XYZ:
```
11
Lattice="-2.2652 -3.0271 3.3606 6.6590 1.5064 1.3003 -0.8227 6.8215 1.0450" Properties=species:S:1:pos:R:3 pbc="T T T"
Ag 5.1585 2.5723 1.2491
Ag -1.1326 -1.5135 1.6803
Ag 0.6778 5.7556 1.0962
Pd 0.3816 0.6309 1.9520
Pd -0.6857 3.0966 1.8098
Pd 0.5064 4.8686 3.7681
Pd 3.0648 0.4322 1.9378
Pd 2.9182 4.1639 1.1727
Pd 4.2568 2.2042 3.8961
Pd 3.1895 4.6699 3.7539
Pt 1.7856 2.6504 2.8530
```

Computed properties:
SG: C2/m (12)
spin magnetization: 0.000 μB/cell
theoretical density: 10.62 g/cm3
energy: -4.362 eV/atom
calculated formation energy: 2.965 eV/f.u.


[4]
The following is a DFT calculation (GGA-PBE) of an optimized crystal structure of NaFe2Tc.

Geometry as extended XYZ:
```
4
Lattice="-3.3655 -2.4528 0.4204 -3.5798 1.5928 1.4725 -3.2795 0.4906 -2.5543" Properties=species:S:1:pos:R:3 pbc="T T T"
Na 0.0000 0.0000 0.0000
Tc -5.1124 -0.1847 -0.3307
Fe -2.5562 -0.0924 -0.1654
Fe -7.6686 -0.2771 -0.4961
```

Computed properties:
SG: Fm-3m (225)
spin magnetization: 0.000 μB/cell
theoretical density: 7.45 g/cm3
energy: -6.306 eV/atom
calculated formation energy: 3.387 eV/f.u.
E above lowest polymorph: 0 meV per atom


[5]
The following is a DFT calculation (GGA-PBE) of an optimized crystal structure of Ac5PrSn6.

Geometry as extended XYZ:
```
12
Lattice="5.8061 1.9480 0.0000 3.4740 8.8250 0.0000 1.7370 4.4125 9.0074" Properties=species:S:1:pos:R:3 pbc="T T T"
Ac 4.6401 5.3865 5.7472
Ac 1.7370 4.4125 2.7648
Ac 4.6401 5.3865 0.0000
Ac 3.4740 8.8250 6.2427
Ac 6.3771 9.7990 3.2602
Pr 0.0000 0.0000 0.0000
Sn 5.2902 3.4707 2.9498
Sn 3.9900 7.3023 2.9498
Sn 2.4195 2.4040 0.0000
Sn 6.8607 8.3690 0.0000
Sn 7.0272 7.8832 6.0576
Sn 5.7270 11.7148 6.0576
```

Computed properties:
SG: C2/m (12)
spin magnetization: 0.574 μB/cell
theoretical density: 8.24 g/cm3
energy: -4.726 eV/atom
calculated formation energy: -7.375 eV/f.u.


[6]
The following is a DFT calculation (GGA-PBE) of an optimized crystal structure of ZrCu2SnH.

Geometry as extended XYZ:
```
5
Lattice="-2.3708 2.8115 1.8998 -2.9071 -0.4879 -2.9060 -1.7555 -3.0083 2.2612" Properties=species:S:1:pos:R:3 pbc="T T T"
H 0.0000 0.0000 0.0000
Cu -1.4536 -0.2439 -1.4530
Cu -1.1854 1.4057 0.9499
Sn -3.5167 -0.3423 0.6275
Zr -0.8777 -1.5041 1.1306
```

Computed properties:
SG: P4/mmm (123)
spin magnetization: 0.000 μB/cell
theoretical density: 7.89 g/cm3
energy: -5.035 eV/atom


[7]
The following is a DFT calculation (GGA-PBE) of an optimized crystal structure of CaPmNd2Se4.

Geometry as extended XYZ:
```
8
Lattice="-1.4549 -0.2390 3.9192 6.5674 -2.2670 2.2998 4.0186 5.8131 1.8464" Properties=species:S:1:pos:R:3 pbc="T T T"
Ca 5.2930 1.7731 2.0731
Pm 2.5563 -1.2530 3.1095
Nd 4.0186 5.8131 1.8464
Nd 1.2818 2.7870 2.8828
Se 7.8950 2.6619 3.0933
Se 1.2362 0.6453 4.9722
Se 5.1786 -0.3256 4.1396
Se 3.9525 3.6327 3.9259
```

Computed properties:
SG: P2/m (10)
spin magnetization: 0.000 μB/cell
theoretical density: 6.20 g/cm3
energy: -5.648 eV/atom
formation energy (no corrections): -1.870 eV/atom


[8]
The following is a DFT calculation (GGA-PBE) of an optimized crystal structure of LiC.

Geometry as extended XYZ:
```
16
Lattice="5.3641 0.0000 0.0000 0.0000 6.0845 0.0000 0.0000 0.0000 5.8453" Properties=species:S:1:pos:R:3 pbc="T T T"
Li 1.3410 4.9365 1.4613
Li 1.3410 1.1480 4.3840
Li 4.0231 1.1480 4.3840
Li 4.0231 4.9365 1.4613
Li 4.0231 1.8943 1.4613
Li 4.0231 4.1902 4.3840
Li 1.3410 4.1902 4.3840
Li 1.3410 1.8943 1.4613
C 0.0000 3.5478 2.5467
C 0.0000 2.5367 3.2986
C 2.6820 3.5478 0.3759
C 2.6820 2.5367 5.4693
C 2.6820 0.5056 2.5467
C 2.6820 5.5789 3.2986
C 0.0000 0.5056 0.3759
C 0.0000 5.5789 5.4693
```

Computed properties:
SG: Cmce (64)
spin magnetization: 0.000 μB/cell
theoretical density: 1.32 g/cm3
energy: -5.544 eV/atom
calculated formation energy: 0.050 eV/f.u.
E above lowest polymorph: 8 meV per atom